Entry 1:
First-principles (PBE) data for an optimized crystal structure of NpSc2Pd9, as listed in Alexandria.

Cell lengths 4.052, 4.052, 12.134 Å; angles 90.00, 90.00, 90.00 degrees
Positions (direct):
1 Np 0.000 0.000 0.000
2 Sc 0.000 0.000 0.340
3 Sc 0.000 0.000 0.660
4 Pd 0.000 0.500 0.170
5 Pd 0.000 0.500 0.500
6 Pd 0.000 0.500 0.830
7 Pd 0.500 0.000 0.170
8 Pd 0.500 0.000 0.500
9 Pd 0.500 0.000 0.830
10 Pd 0.500 0.500 0.000
11 Pd 0.500 0.500 0.336
12 Pd 0.500 0.500 0.664

Summary:
energy of formation from the pure elements = -715 meV/atom
symmetry = P4/mmm
E_tot = -6.743 eV/atom

Entry 2:
First-principles (PBE) data for an optimized crystal structure of PrBi2ClO4, as listed in Alexandria.

Cell lengths 3.972, 3.972, 9.216 Å; angles 90.00, 90.00, 90.00 degrees
Positions (direct):
1 Pr 0.000 0.000 0.000
2 Bi 0.500 0.500 0.281
3 Bi 0.500 0.500 0.719
4 Cl 0.000 0.000 0.500
5 O 0.000 0.500 0.162
6 O 0.000 0.500 0.838
7 O 0.500 0.000 0.162
8 O 0.500 0.000 0.838

Summary:
formation energy without anion corrections = -1.9666 eV per atom
symmetry = P4/mmm
E_tot = -6.244 eV/atom

Entry 3:
First-principles (PBE) data for an optimized crystal structure of Pm6Tl3O, as listed in Alexandria.

Cell lengths 10.656, 10.656, 5.426 Å; angles 90.00, 90.00, 111.96 degrees
Positions (direct):
1 Pm 0.089 0.911 0.500
2 Pm 0.106 0.552 0.500
3 Pm 0.232 0.768 0.999
4 Pm 0.252 0.412 0.000
5 Pm 0.412 0.252 0.500
6 Pm 0.448 0.894 0.500
7 Pm 0.552 0.106 0.000
8 Pm 0.588 0.748 0.000
9 Pm 0.748 0.588 0.500
10 Pm 0.768 0.232 0.499
11 Pm 0.894 0.448 0.000
12 Pm 0.911 0.089 0.000
13 Tl 0.085 0.235 0.500
14 Tl 0.235 0.085 0.000
15 Tl 0.424 0.576 0.500
16 Tl 0.576 0.424 0.000
17 Tl 0.765 0.915 0.500
18 Tl 0.915 0.765 0.000
19 O 0.217 0.783 0.503
20 O 0.783 0.217 0.003

Summary:
formation energy without anion corrections = -0.7892 eV per atom
symmetry = Cmc2_1
E_tot = -4.845 eV/atom

> Which of these has the lowest E_tot?

NpSc2Pd9

> Which of these has the lowest E_tot?

NpSc2Pd9

> Number 2 is which compound?

PrBi2ClO4

Repeat the second record exactly.
First-principles (PBE) data for an optimized crystal structure of PrBi2ClO4, as listed in Alexandria.

Cell lengths 3.972, 3.972, 9.216 Å; angles 90.00, 90.00, 90.00 degrees
Positions (direct):
1 Pr 0.000 0.000 0.000
2 Bi 0.500 0.500 0.281
3 Bi 0.500 0.500 0.719
4 Cl 0.000 0.000 0.500
5 O 0.000 0.500 0.162
6 O 0.000 0.500 0.838
7 O 0.500 0.000 0.162
8 O 0.500 0.000 0.838

Summary:
formation energy without anion corrections = -1.9666 eV per atom
symmetry = P4/mmm
E_tot = -6.244 eV/atom